## Dy6Te3PbSe2 (PBE-GGA)

Data for Dy6Te3PbSe2 after structural relaxation.

Crystal system: monoclinic

Cell lengths 18.774, 4.269, 8.605 Å; angles 90.00, 104.22, 90.00 degrees
Space group C2/m (No. 12)
Unique sites:
Dy 0.009 0.000 0.251
Dy 0.167 0.500 0.109
Dy 0.175 0.500 0.568
Te 0.000 0.500 0.500
Te 0.164 0.000 0.832
Pb 0.000 0.500 0.000
Se 0.168 0.000 0.337

=====

## Dy6TePb2Se3 (PBE-GGA)

Data for Dy6TePb2Se3 after structural relaxation.

Crystal system: monoclinic

Cell lengths 18.521, 4.256, 8.526 Å; angles 90.00, 102.96, 90.00 degrees
Space group C2/m (No. 12)
Unique sites:
Dy 0.001 0.000 0.233
Dy 0.164 0.500 0.090
Dy 0.171 0.500 0.580
Te 0.000 0.500 0.500
Pb 0.167 0.000 0.833
Se 0.000 0.500 0.000
Se 0.165 0.000 0.335

=====

## DyTmPbSe (PBE-GGA)

Data for DyTmPbSe after structural relaxation.

Crystal system: tetragonal

Cell lengths 4.272, 4.272, 5.994 Å; angles 90.00, 90.00, 90.00 degrees
Space group P4/mmm (No. 123)
Unique sites:
Dy 0.000 0.000 0.000
Tm 0.500 0.500 0.500
Pb 0.500 0.500 0.000
Se 0.000 0.000 0.500

=====

## DySiPb (PBE-GGA)

Data for DySiPb after structural relaxation.

Crystal system: orthorhombic

Cell lengths 4.175, 18.888, 3.765 Å; angles 90.00, 90.00, 90.00 degrees
Space group Cmcm (No. 63)
Unique sites:
Dy 0.000 0.084 0.250
Si 0.000 0.461 0.250
Pb 0.000 0.304 0.250

=====

## Dy5Si2Pb (PBE-GGA)

Data for Dy5Si2Pb after structural relaxation.

Crystal system: tetragonal

Cell lengths 7.816, 7.816, 13.651 Å; angles 90.00, 90.00, 90.00 degrees
Space group I4/mcm (No. 140)
Unique sites:
Dy 0.000 0.000 0.000
Dy 0.159 0.341 0.139
Si 0.141 0.359 0.500
Pb 0.000 0.000 0.250

=====

## Dy2SiPb (PBE-GGA)

Data for Dy2SiPb after structural relaxation.

Crystal system: trigonal

Cell lengths 3.9872, 3.9872, 24.5329 Å; angles 90.00, 90.00, 120.00 degrees
Space group R-3m (No. 166, hexagonal axes)
Unique sites:
Dy 0.0000 0.0000 0.2338
Si 0.0000 0.0000 0.5000
Pb 0.0000 0.0000 0.0000

=====

Number 1: DOS(E_F) 7.68 states/eV per cell, ρ 8.56 g cm⁻³, uncorrected formation energy -1329 meV/atom. Number 2: DOS(E_F) 9.39 states/eV per cell, ρ 8.89 g cm⁻³, uncorrected formation energy -1255 meV/atom. Number 3: DOS(E_F) 0.79 states/eV per cell, ρ 9.37 g cm⁻³, uncorrected formation energy -1071 meV/atom. Number 4: DOS(E_F) 6.64 states/eV per cell, ρ 8.90 g cm⁻³, uncorrected formation energy -496 meV/atom. Number 5: DOS(E_F) 33.61 states/eV per cell, ρ 8.57 g cm⁻³, uncorrected formation energy -626 meV/atom. Number 6: DOS(E_F) 13.22 states/eV per cell, ρ 8.26 g cm⁻³, uncorrected formation energy -486 meV/atom.